# Pm8In2Sn PBE optimized geometry
data_Pm8In2Sn
_space_group_name_H-M_alt 'C 1 2/m 1'
_space_group_IT_number 12
_cell_length_a 19.375
_cell_length_b 5.321
_cell_length_c 7.084
_cell_angle_alpha 90.00
_cell_angle_beta 105.03
_cell_angle_gamma 90.00
loop_
_space_group_symop_operation_xyz
'x,y,z'
'-x,-y,-z'
'-x,y,-z'
'x,-y,z'
'x+1/2,y+1/2,z'
'-x+1/2,-y+1/2,-z'
'-x+1/2,y+1/2,-z'
'x+1/2,-y+1/2,z'
loop_
_atom_site_label
_atom_site_type_symbol
_atom_site_fract_x
_atom_site_fract_y
_atom_site_fract_z
_atom_site_occupancy
Pm1 Pm 0.015 0.000 0.262 1
Pm2 Pm 0.093 0.500 0.968 1
Pm3 Pm 0.160 0.500 0.477 1
Pm4 Pm 0.208 0.000 0.808 1
In1 In 0.180 0.000 0.238 1
Sn1 Sn 0.000 0.500 0.500 1
# **E_tot**: -4.595 eV per atom
# **DOS(E_F)**: 23.9 states/eV/cell
# **Calculated density**: 7.102 g/cm³
# **Formation energy**: -0.28 eV per atom